1.
Entry from Alexandria via LeMat-Bulk: a relaxed HoAs2Pd6 crystal (GGA-PBE).

Output
density = 9.69 Mg/m³
E_form = -0.5025 eV/atom
total energy = -99.11 eV per cell

a = 4.2817 Å, b = 7.3168 Å, c = 10.4286 Å
α = 90.00°, β = 90.00°, γ = 90.00°
Last column: nearest neighbours and their distance in Å.
Space group Immm (No. 71)
One atom of each set of equivalent atoms:
Ho: 0.0000 0.0000 0.0000 x2  8 Pd 2.88-3.02, 2 As 3.14
As: 0.0000 0.0000 0.3007 x4  8 Pd 2.58-2.59
Pd: 0.0000 0.2090 0.5000 x4  2 As 2.58, 4 Pd 2.82
Pd: 0.0000 0.3041 0.1751 x8  3 As 2.58-2.59, 5 Pd 2.77-2.87, 1 Ho 2.88

2.
Entry from Alexandria via LeMat-Bulk: a relaxed Sc11Cu9Ni4 crystal (GGA-PBE).

Output
density = 5.41 Mg/m³
E_form = -0.3192 eV/atom
total energy = -274.60 eV per cell

a = 12.8121 Å, b = 19.0559 Å, c = 3.2700 Å
α = 90.00°, β = 90.00°, γ = 90.00°
Last column: nearest neighbours and their distance in Å.
Space group Cmmm (No. 65)
One atom of each set of equivalent atoms:
Sc: 0.0000 0.0000 0.0000 x2  8 Cu 2.78
Sc: 0.0000 0.1702 0.0000 x4  8 Cu 2.80-2.95, 2 Sc 3.12
Sc: 0.0000 0.3649 0.0000 x4  4 Ni 2.63, 4 Cu 2.87
Sc: 0.2216 0.5000 0.0000 x4  4 Ni 2.60, 4 Cu 2.89
Sc: 0.2433 0.1702 0.0000 x8  2 Ni 2.58, 4 Cu 2.80
Cu: 0.0000 0.5000 0.5000 x2  4 Ni 2.62
Cu: 0.1079 0.2645 0.5000 x8  1 Ni 2.74, 1 Cu 2.76, 8 Sc 2.80-2.99
Cu: 0.1324 0.0773 0.5000 x8  8 Sc 2.78-2.95, 1 Ni 2.82, 1 Cu 2.94
Ni: 0.1487 0.4057 0.5000 x8  6 Sc 2.58-2.63, 3 Cu 2.62-2.82